(1)
{
  "formula": "Cu3Au2",
  "functional": "GGA-PBEsol",
  "state": "relaxed",
  "e_form_kj_per_mol_atoms": -0.68,
  "polymorph_energy_ev_per_fu": 0.09,
  "energy_ev_per_atom": -4.177,
  "sg": "Immm, No. 71",
  "lattice_angstrom": [[2.732, 0.000, 0.000], [0.000, 3.481, 0.000], [-1.366, -1.741, 7.214]],
  "species": ["Au", "Au", "Cu", "Cu", "Cu"],
  "fractional_positions": [[0.314, 0.814, 0.627], [0.686, 0.186, 0.373], [0.086, 0.586, 0.172], [0.500, 0.000, 0.000], [0.914, 0.414, 0.828]]
}


(2)
{
  "formula": "Cr2IrSe",
  "functional": "GGA-PBEsol",
  "state": "relaxed",
  "e_form_raw_kj_per_mol_atoms": 21.9,
  "energy_ev_per_atom": -8.312,
  "sg": "Cmmm, No. 65",
  "lattice_angstrom": [[-2.235, -1.633, 0.830], [2.570, -1.976, 3.033], [-1.790, 3.499, 2.063]],
  "species": ["Cr", "Cr", "Ir", "Se"],
  "fractional_positions": [[0.000, 0.500, 0.000], [0.000, 0.000, 0.500], [0.500, 0.000, 0.000], [0.500, 0.500, 0.500]]
}


(3)
{
  "formula": "La3CoRh",
  "functional": "GGA-PBEsol",
  "state": "relaxed",
  "e_form_kj_per_mol_atoms": 6.98,
  "energy_ev_per_atom": -6.311,
  "sg": "Pm-3m, No. 221",
  "lattice_angstrom": [[5.072, 0.000, 0.000], [0.000, 5.072, 0.000], [0.000, 0.000, 5.072]],
  "species": ["Co", "Rh", "La", "La", "La"],
  "fractional_positions": [[0.000, 0.000, 0.000], [0.500, 0.500, 0.500], [0.000, 0.500, 0.000], [0.000, 0.000, 0.500], [0.500, 0.000, 0.000]]
}


(4)
{
  "formula": "CuO2F",
  "functional": "GGA-PBEsol",
  "state": "relaxed",
  "e_form_raw_kj_per_mol_atoms": -64.2,
  "energy_ev_per_atom": -4.856,
  "sg": "Pmn2_1, No. 31",
  "lattice_angstrom": [[-2.006, -0.580, -2.289], [-1.268, -3.779, 2.068], [-4.108, 2.941, 2.855]],
  "species": ["O", "O", "O", "O", "Cu", "Cu", "F", "F"],
  "fractional_positions": [[0.000, 0.003, 0.381], [0.500, 0.503, 0.619], [0.500, 0.475, 0.394], [0.000, 0.975, 0.606], [0.000, 0.325, 0.792], [0.500, 0.825, 0.208], [0.000, 0.653, 0.015], [0.500, 0.153, 0.985]]
}


(5)
{
  "formula": "CeAgSb2",
  "functional": "GGA-PBEsol",
  "state": "relaxed",
  "e_form_raw_kj_per_mol_atoms": -64.3,
  "energy_ev_per_atom": -5.422,
  "sg": "P4/nmm, No. 129",
  "lattice_angstrom": [[-3.642, 2.120, 1.065], [0.057, -1.871, 3.923], [5.548, 7.721, 3.603]],
  "species": ["Sb", "Sb", "Sb", "Sb", "Ag", "Ag", "Ce", "Ce"],
  "fractional_positions": [[0.000, 0.000, 0.000], [0.500, 0.500, 0.000], [0.500, 0.000, 0.682], [0.000, 0.500, 0.318], [0.000, 0.000, 0.500], [0.500, 0.500, 0.500], [0.500, 0.000, 0.238], [0.000, 0.500, 0.762]]
}


(6)
{
  "formula": "ScSnWBr2",
  "functional": "GGA-PBEsol",
  "state": "relaxed",
  "e_form_raw_kj_per_mol_atoms": 66.0,
  "energy_ev_per_atom": -4.999,
  "sg": "P4/mmm, No. 123",
  "lattice_angstrom": [[4.951, 0.000, 0.000], [0.000, 4.951, 0.000], [0.000, 0.000, 5.565]],
  "species": ["Sc", "Br", "Br", "Sn", "W"],
  "fractional_positions": [[0.000, 0.000, 0.000], [0.000, 0.500, 0.000], [0.500, 0.000, 0.000], [0.500, 0.500, 0.500], [0.000, 0.000, 0.500]]
}


(7)
{
  "formula": "Zn2IrSe",
  "functional": "GGA-PBEsol",
  "state": "relaxed",
  "e_form_raw_kj_per_mol_atoms": 10.5,
  "energy_ev_per_atom": -4.101,
  "sg": "I4/mmm, No. 139",
  "lattice_angstrom": [[-3.169, 2.013, -0.833], [-0.905, -2.553, -2.729], [-0.023, -1.863, 4.459]],
  "species": ["Ir", "Se", "Zn", "Zn"],
  "fractional_positions": [[0.500, 0.500, 0.000], [0.000, 0.000, 0.000], [0.750, 0.250, 0.500], [0.250, 0.750, 0.500]]
}


(8)
{
  "formula": "BeMoAs2",
  "functional": "GGA-PBEsol",
  "state": "relaxed",
  "e_form_kj_per_mol_atoms": 24.63,
  "energy_ev_per_atom": -6.240,
  "sg": "Cmmm, No. 65",
  "lattice_angstrom": [[-1.485, 2.743, 0.676], [-3.094, -2.158, 1.954], [2.559, 0.561, 3.345]],
  "species": ["Be", "Mo", "As", "As"],
  "fractional_positions": [[0.500, 0.000, 0.000], [0.500, 0.500, 0.500], [0.000, 0.500, 0.000], [0.000, 0.000, 0.500]]
}


| no. | density of states at the Fermi level (states/eV/cell) | mass density (Mg/m³) |
| --- | --- | --- |
| 1 | 1.3 | 14.15 |
| 2 | 4.2 | 11.35 |
| 3 | 3.3 | 7.36 |
| 4 | 3.4 | 4.71 |
| 5 | 10.3 | 8.50 |
| 6 | 3.8 | 6.17 |
| 7 | 1.6 | 11.30 |
| 8 | 2.3 | 7.42 |